Entry 1:
# Pr12TmMg3 | the Alexandria database | GGA-PBE | optimized geometry
data_Pr12TmMg3
_chemical_formula_sum 'Pr12 Tm1 Mg3'
_symmetry_space_group_name_H-M 'P 1'
_symmetry_Int_Tables_number 1
_cell_length_a 5.089
_cell_length_b 5.089
_cell_length_c 20.520
_cell_angle_alpha 90.00
_cell_angle_beta 90.00
_cell_angle_gamma 90.00
loop_
_symmetry_equiv_pos_as_xyz
'x,y,z'
loop_
_atom_site_label
_atom_site_fract_x
_atom_site_fract_y
_atom_site_fract_z
Pr1 0.000 0.500 0.376
Pr2 0.500 0.000 0.624
Pr3 0.500 0.000 0.127
Pr4 0.500 0.000 0.873
Pr5 0.500 0.500 0.500
Pr6 0.500 0.000 0.376
Pr7 0.000 0.500 0.624
Pr8 0.500 0.500 0.748
Pr9 0.500 0.500 0.000
Pr10 0.000 0.500 0.873
Pr11 0.000 0.500 0.127
Pr12 0.500 0.500 0.252
Mg1 0.000 0.000 0.253
Mg2 0.000 0.000 0.500
Mg3 0.000 0.000 0.747
Tm1 0.000 0.000 0.000
# E: -4.169 eV per atom
# Crystal system: tetragonal
# Space group: P4/mmm, No. 123


Entry 2:
# YHo3C2 | the Alexandria database | GGA-PBE | optimized geometry
data_YHo3C2
_chemical_formula_sum 'Y2 Ho6 C4'
_symmetry_space_group_name_H-M 'P 1'
_symmetry_Int_Tables_number 1
_cell_length_a 6.222
_cell_length_b 7.132
_cell_length_c 7.132
_cell_angle_alpha 120.00
_cell_angle_beta 90.00
_cell_angle_gamma 90.00
loop_
_symmetry_equiv_pos_as_xyz
'x,y,z'
loop_
_atom_site_label
_atom_site_fract_x
_atom_site_fract_y
_atom_site_fract_z
Y1 0.780 0.667 0.333
Y2 0.220 0.333 0.667
Ho1 0.215 0.833 0.666
Ho2 0.215 0.833 0.167
Ho3 0.785 0.167 0.833
Ho4 0.785 0.167 0.334
Ho5 0.215 0.334 0.167
Ho6 0.785 0.666 0.833
C1 0.000 0.000 0.000
C2 0.000 0.500 0.500
C3 0.000 0.500 0.000
C4 0.000 0.000 0.500
# E: -6.716 eV per atom
# Crystal system: trigonal
# Space group: P-3m1, No. 164


Entry 3:
# Nd4SmEr6 | the Alexandria database | GGA-PBE | optimized geometry
data_Nd4SmEr6
_chemical_formula_sum 'Nd4 Sm1 Er6'
_symmetry_space_group_name_H-M 'P 1'
_symmetry_Int_Tables_number 1
_cell_length_a 7.751
_cell_length_b 7.751
_cell_length_c 8.495
_cell_angle_alpha 117.14
_cell_angle_beta 117.14
_cell_angle_gamma 90.00
loop_
_symmetry_equiv_pos_as_xyz
'x,y,z'
loop_
_atom_site_label
_atom_site_fract_x
_atom_site_fract_y
_atom_site_fract_z
Nd1 0.750 0.099 0.849
Nd2 0.250 0.250 0.151
Nd3 0.099 0.750 0.849
Nd4 0.901 0.901 0.151
Er1 0.500 0.000 0.000
Er2 0.434 0.933 0.367
Er3 0.566 0.566 0.633
Er4 0.067 0.067 0.633
Er5 0.933 0.434 0.367
Er6 0.000 0.500 0.000
Sm1 0.500 0.500 0.000
# Distance to the lowest polymorph of the same formula: 15.0 kJ/mol of atoms
# E: -4.192 eV per atom
# Crystal system: tetragonal
# Space group: I-42m, No. 121


Entry 4:
# BeNi2Pt | the Alexandria database | GGA-PBE | optimized geometry
data_BeNi2Pt
_chemical_formula_sum 'Be1 Ni2 Pt1'
_symmetry_space_group_name_H-M 'P 1'
_symmetry_Int_Tables_number 1
_cell_length_a 4.114
_cell_length_b 4.114
_cell_length_c 2.798
_cell_angle_alpha 90.00
_cell_angle_beta 90.00
_cell_angle_gamma 90.00
loop_
_symmetry_equiv_pos_as_xyz
'x,y,z'
loop_
_atom_site_label
_atom_site_fract_x
_atom_site_fract_y
_atom_site_fract_z
Ni1 0.500 0.500 0.000
Ni2 0.000 0.000 0.000
Pt1 0.500 0.000 0.500
Be1 0.000 0.500 0.500
# E: -5.444 eV per atom
# Crystal system: tetragonal
# Space group: P4/mmm, No. 123


Entry 5:
# SnPtPb | the Alexandria database | GGA-PBE | optimized geometry
data_SnPtPb
_chemical_formula_sum 'Sn1 Pt1 Pb1'
_symmetry_space_group_name_H-M 'P 1'
_symmetry_Int_Tables_number 1
_cell_length_a 4.726
_cell_length_b 4.726
_cell_length_c 4.726
_cell_angle_alpha 60.00
_cell_angle_beta 60.00
_cell_angle_gamma 60.00
loop_
_symmetry_equiv_pos_as_xyz
'x,y,z'
loop_
_atom_site_label
_atom_site_fract_x
_atom_site_fract_y
_atom_site_fract_z
Pt1 0.250 0.250 0.250
Sn1 0.000 0.000 0.000
Pb1 0.500 0.500 0.500
# Distance to the lowest polymorph of the same formula: 2.3 kJ/mol of atoms
# E: -4.878 eV per atom
# Crystal system: cubic
# Space group: F-43m, No. 216


Entry 6:
# ZrNiSCl2 | the Alexandria database | GGA-PBE | optimized geometry
data_ZrNiSCl2
_chemical_formula_sum 'Zr1 Ni1 S1 Cl2'
_symmetry_space_group_name_H-M 'P 1'
_symmetry_Int_Tables_number 1
_cell_length_a 5.012
_cell_length_b 5.012
_cell_length_c 4.986
_cell_angle_alpha 90.00
_cell_angle_beta 90.00
_cell_angle_gamma 90.00
loop_
_symmetry_equiv_pos_as_xyz
'x,y,z'
loop_
_atom_site_label
_atom_site_fract_x
_atom_site_fract_y
_atom_site_fract_z
Zr1 0.000 0.000 0.000
Ni1 0.500 0.500 0.500
Cl1 0.000 0.500 0.000
Cl2 0.500 0.000 0.000
S1 0.000 0.000 0.500
# Distance to the lowest polymorph of the same formula: 0.0 kJ/mol of atoms
# E: -4.768 eV per atom
# Crystal system: tetragonal
# Space group: P4/mmm, No. 123


Entry 7:
# Sc2TlZn | the Alexandria database | GGA-PBE | optimized geometry
data_Sc2TlZn
_chemical_formula_sum 'Sc2 Tl1 Zn1'
_symmetry_space_group_name_H-M 'P 1'
_symmetry_Int_Tables_number 1
_cell_length_a 4.930
_cell_length_b 4.930
_cell_length_c 5.851
_cell_angle_alpha 77.99
_cell_angle_beta 77.99
_cell_angle_gamma 40.82
loop_
_symmetry_equiv_pos_as_xyz
'x,y,z'
loop_
_atom_site_label
_atom_site_fract_x
_atom_site_fract_y
_atom_site_fract_z
Sc1 0.506 0.506 0.482
Sc2 0.994 0.994 0.018
Tl1 0.750 0.750 0.750
Zn1 0.250 0.250 0.250
# E: -4.249 eV per atom
# Crystal system: monoclinic
# Space group: C2/m, No. 12


Entry 8:
# Sc2CrHIr | the Alexandria database | GGA-PBE | optimized geometry
data_Sc2CrHIr
_chemical_formula_sum 'Sc2 Cr1 H1 Ir1'
_symmetry_space_group_name_H-M 'P 1'
_symmetry_Int_Tables_number 1
_cell_length_a 4.537
_cell_length_b 4.537
_cell_length_c 3.430
_cell_angle_alpha 90.00
_cell_angle_beta 90.00
_cell_angle_gamma 90.00
loop_
_symmetry_equiv_pos_as_xyz
'x,y,z'
loop_
_atom_site_label
_atom_site_fract_x
_atom_site_fract_y
_atom_site_fract_z
Ir1 0.500 0.500 0.500
Sc1 0.000 0.500 0.000
Sc2 0.500 0.000 0.000
Cr1 0.000 0.000 0.500
H1 0.000 0.000 0.000
# E: -7.338 eV per atom
# Crystal system: tetragonal
# Space group: P4/mmm, No. 123


Entry 9:
# Ti3CdH3 | the Alexandria database | GGA-PBE | optimized geometry
data_Ti3CdH3
_chemical_formula_sum 'Ti6 Cd2 H6'
_symmetry_space_group_name_H-M 'P 1'
_symmetry_Int_Tables_number 1
_cell_length_a 5.381
_cell_length_b 5.381
_cell_length_c 5.381
_cell_angle_alpha 90.00
_cell_angle_beta 90.00
_cell_angle_gamma 90.00
loop_
_symmetry_equiv_pos_as_xyz
'x,y,z'
loop_
_atom_site_label
_atom_site_fract_x
_atom_site_fract_y
_atom_site_fract_z
Ti1 0.750 0.500 0.000
Ti2 0.500 0.000 0.250
Ti3 0.500 0.000 0.750
Ti4 0.000 0.750 0.500
Ti5 0.000 0.250 0.500
Ti6 0.250 0.500 0.000
Cd1 0.500 0.500 0.500
Cd2 0.000 0.000 0.000
H1 0.250 0.000 0.500
H2 0.500 0.250 0.000
H3 0.500 0.750 0.000
H4 0.000 0.500 0.750
H5 0.000 0.500 0.250
H6 0.750 0.000 0.500
# Distance to the lowest polymorph of the same formula: 0.0 kJ/mol of atoms
# E: -5.270 eV per atom
# Crystal system: cubic
# Space group: Pm-3n, No. 223


Entry 10:
# K4Nb | the Alexandria database | GGA-PBE | optimized geometry
data_K4Nb
_chemical_formula_sum 'K4 Nb1'
_symmetry_space_group_name_H-M 'P 1'
_symmetry_Int_Tables_number 1
_cell_length_a 6.927
_cell_length_b 6.927
_cell_length_c 6.927
_cell_angle_alpha 90.00
_cell_angle_beta 90.00
_cell_angle_gamma 90.00
loop_
_symmetry_equiv_pos_as_xyz
'x,y,z'
loop_
_atom_site_label
_atom_site_fract_x
_atom_site_fract_y
_atom_site_fract_z
K1 0.000 0.000 0.000
K2 0.500 0.500 0.000
K3 0.000 0.500 0.500
K4 0.500 0.000 0.500
Nb1 0.500 0.500 0.500
# E: -1.923 eV per atom
# Crystal system: cubic
# Space group: Pm-3m, No. 221


Entry 11:
# BaErRhO6 | the Alexandria database | GGA-PBE | optimized geometry
data_BaErRhO6
_chemical_formula_sum 'Ba1 Er1 Rh1 O6'
_symmetry_space_group_name_H-M 'P 1'
_symmetry_Int_Tables_number 1
_cell_length_a 5.569
_cell_length_b 5.569
_cell_length_c 5.683
_cell_angle_alpha 90.00
_cell_angle_beta 90.00
_cell_angle_gamma 60.00
loop_
_symmetry_equiv_pos_as_xyz
'x,y,z'
loop_
_atom_site_label
_atom_site_fract_x
_atom_site_fract_y
_atom_site_fract_z
O1 0.607 0.355 0.696
O2 0.355 0.607 0.304
O3 0.607 0.038 0.304
O4 0.355 0.038 0.696
O5 0.038 0.355 0.304
O6 0.038 0.607 0.696
Rh1 0.333 0.333 0.500
Ba1 0.000 0.000 0.000
Er1 0.667 0.667 0.500
# E: -6.550 eV per atom
# Crystal system: trigonal
# Space group: P312, No. 149


Entry 12:
# Re2SnGe | the Alexandria database | GGA-PBE | optimized geometry
data_Re2SnGe
_chemical_formula_sum 'Re4 Sn2 Ge2'
_symmetry_space_group_name_H-M 'P 1'
_symmetry_Int_Tables_number 1
_cell_length_a 4.122
_cell_length_b 4.122
_cell_length_c 9.565
_cell_angle_alpha 77.56
_cell_angle_beta 77.56
_cell_angle_gamma 90.00
loop_
_symmetry_equiv_pos_as_xyz
'x,y,z'
loop_
_atom_site_label
_atom_site_fract_x
_atom_site_fract_y
_atom_site_fract_z
Sn1 0.000 0.000 0.000
Sn2 0.750 0.250 0.500
Re1 0.375 0.458 0.750
Re2 0.542 0.125 0.250
Re3 0.875 0.792 0.750
Re4 0.208 0.625 0.250
Ge1 0.250 0.750 0.500
Ge2 0.500 0.500 0.000
# Distance to the lowest polymorph of the same formula: 15.5 kJ/mol of atoms
# E: -7.682 eV per atom
# Crystal system: tetragonal
# Space group: I-42d, No. 122